# 1
A geometry-optimized Tl3CdInPb structure. Source: the Alexandria database, functional PBE.

Properties
electronic total energy	-2.377	eV per atom

a b c (Å): 9.114 3.661 11.413
angles (deg): 90.00 112.34 90.00
Space group P2_1/m (No. 11)
One atom of each set of equivalent atoms:
1 Tl 0.174 0.250 0.021 (multiplicity 2)
2 Tl 0.178 0.250 0.523 (multiplicity 2)
3 Tl 0.187 0.750 0.273 (multiplicity 2)
4 Cd 0.496 0.750 0.619 (multiplicity 2)
5 In 0.492 0.250 0.869 (multiplicity 2)
6 Pb 0.162 0.750 0.766 (multiplicity 2)

# 2
A geometry-optimized LaDyTm2 structure. Source: the Alexandria database, functional PBE.

Properties
electronic total energy	-4.580	eV per atom
energy relative to the lowest polymorph listed for this composition	9	kJ/mol of formula units

a b c (Å): 5.077 5.077 5.001
angles (deg): 90.00 90.00 90.00
Space group P4/mmm (No. 123)
One atom of each set of equivalent atoms:
1 La 0.000 0.000 0.000 (multiplicity 1)
2 Dy 0.500 0.500 0.000 (multiplicity 1)
3 Tm 0.000 0.500 0.500 (multiplicity 2)

# 3
A geometry-optimized Sm19Dy6Er4 structure. Source: the Alexandria database, functional PBE.

Properties
electronic total energy	-4.304	eV per atom

a b c (Å): 12.563 12.563 12.563
angles (deg): 90.00 90.00 90.00
Space group I23 (No. 197)
One atom of each set of equivalent atoms:
1 Sm 0.000 0.000 0.000 (multiplicity 2)
2 Sm 0.000 0.000 0.260 (multiplicity 12)
3 Sm 0.063 0.261 0.281 (multiplicity 24)
4 Dy 0.000 0.375 0.500 (multiplicity 12)
5 Er 0.180 0.180 0.820 (multiplicity 8)

# 4
A geometry-optimized CrNiTe3 structure. Source: the Alexandria database, functional PBE.

Properties
formation energy without anion corrections	4.449	eV per formula unit
electronic total energy	-4.076	eV per atom
energy relative to the lowest polymorph listed for this composition	497	kJ/mol of formula units

a b c (Å): 5.016 5.016 5.016
angles (deg): 90.00 90.00 90.00
Space group Pm-3m (No. 221)
One atom of each set of equivalent atoms:
1 Cr 0.000 0.000 0.000 (multiplicity 1)
2 Ni 0.500 0.500 0.500 (multiplicity 1)
3 Te 0.000 0.000 0.500 (multiplicity 3)

# 5
A geometry-optimized NpCu2TcO8 structure. Source: the Alexandria database, functional PBE.

Properties
formation energy without anion corrections	-16.348	eV per formula unit
electronic total energy	-7.293	eV per atom

a b c (Å): 6.447 6.447 7.226
angles (deg): 90.00 90.00 90.00
Space group I-4m2 (No. 119)
One atom of each set of equivalent atoms:
1 Np 0.000 0.000 0.000 (multiplicity 2)
2 Cu 0.000 0.000 0.500 (multiplicity 2)
3 Cu 0.000 0.500 0.250 (multiplicity 2)
4 Tc 0.000 0.500 0.750 (multiplicity 2)
5 O 0.000 0.230 0.673 (multiplicity 8)
6 O 0.000 0.294 0.055 (multiplicity 8)

# 6
A geometry-optimized Tb3Pm5Sb8 structure. Source: the Alexandria database, functional PBE.

Properties
formation energy without anion corrections	-18.732	eV per formula unit
electronic total energy	-5.585	eV per atom

a b c (Å): 8.9208 8.9208 21.8437
angles (deg): 90.00 90.00 120.00
Space group R-3m (No. 166, hexagonal axes)
One atom of each set of equivalent atoms:
1 Tb 0.0000 0.5000 0.0000 (multiplicity 9)
2 Pm 0.0000 0.0000 0.0000 (multiplicity 3)
3 Pm 0.0000 0.0000 0.5000 (multiplicity 3)
4 Pm 0.0000 0.5000 0.5000 (multiplicity 9)
5 Sb 0.0000 0.0000 0.2519 (multiplicity 6)
6 Sb 0.0026 0.5013 0.2513 (multiplicity 18)

# 7
A geometry-optimized CaScN2O structure. Source: the Alexandria database, functional PBE.

Properties
formation energy without anion corrections	-3.841	eV per formula unit
electronic total energy	-6.757	eV per atom

a b c (Å): 4.234 4.234 4.064
angles (deg): 90.00 90.00 90.00
Space group P4/mmm (No. 123)
One atom of each set of equivalent atoms:
1 Ca 0.000 0.000 0.000 (multiplicity 1)
2 Sc 0.500 0.500 0.500 (multiplicity 1)
3 N 0.000 0.500 0.500 (multiplicity 2)
4 O 0.500 0.500 0.000 (multiplicity 1)

# 8
A geometry-optimized Y8Tm6Tl structure. Source: the Alexandria database, functional PBE.

Properties
electronic total energy	-5.171	eV per atom

a b c (Å): 9.1088 9.1088 6.7621
angles (deg): 90.00 90.00 120.00
Space group P-3 (No. 147)
One atom of each set of equivalent atoms:
1 Y 0.0152 0.3269 0.1173 (multiplicity 6)
2 Y 0.3333 0.6667 0.8001 (multiplicity 2)
3 Tm 0.0739 0.6791 0.3949 (multiplicity 6)
4 Tl 0.0000 0.0000 0.5000 (multiplicity 1)

# 9
A geometry-optimized CsLi2AcI6 structure. Source: the Alexandria database, functional PBE.

Properties
formation energy without anion corrections	-14.052	eV per formula unit
electronic total energy	-3.214	eV per atom

a b c (Å): 7.808 7.812 10.462
angles (deg): 90.02 111.84 119.98
Space group P-1 (No. 2)
One atom of each set of equivalent atoms:
1 Cs 0.000 0.000 0.000 (multiplicity 1)
2 Li 0.336 0.168 0.504 (multiplicity 2)
3 Ac 0.000 0.500 0.500 (multiplicity 1)
4 I 0.126 0.210 0.686 (multiplicity 2)
5 I 0.230 0.440 0.314 (multiplicity 2)
6 I 0.475 0.916 0.687 (multiplicity 2)

# 10
A geometry-optimized K3BiI structure. Source: the Alexandria database, functional PBE.

Properties
formation energy without anion corrections	-2.530	eV per formula unit
electronic total energy	-2.251	eV per atom

a b c (Å): 6.486 6.486 6.486
angles (deg): 90.00 90.00 90.00
Space group Pm-3m (No. 221)
One atom of each set of equivalent atoms:
1 K 0.000 0.000 0.500 (multiplicity 3)
2 Bi 0.500 0.500 0.500 (multiplicity 1)
3 I 0.000 0.000 0.000 (multiplicity 1)

# 11
A geometry-optimized BaHgAu2 structure. Source: the Alexandria database, functional PBE.

Properties
electronic total energy	-2.697	eV per atom

a b c (Å): 8.542 4.902 6.145
angles (deg): 90.00 117.25 90.00
Space group Cm (No. 8)
One atom of each set of equivalent atoms:
1 Ba 0.000 0.000 0.000 (multiplicity 2)
2 Hg 0.209 0.000 0.627 (multiplicity 2)
3 Au 0.284 0.500 0.353 (multiplicity 2)
4 Au 0.471 0.000 0.412 (multiplicity 2)

# 12
A geometry-optimized DyMg14In structure. Source: the Alexandria database, functional PBE.

Properties
electronic total energy	-1.858	eV per atom

a b c (Å): 6.655 6.655 8.607
angles (deg): 90.00 90.00 90.00
Space group P4/mmm (No. 123)
One atom of each set of equivalent atoms:
1 Dy 0.000 0.000 0.000 (multiplicity 1)
2 Mg 0.000 0.000 0.500 (multiplicity 1)
3 Mg 0.000 0.500 0.000 (multiplicity 2)
4 Mg 0.000 0.500 0.500 (multiplicity 2)
5 Mg 0.252 0.252 0.256 (multiplicity 8)
6 Mg 0.500 0.500 0.500 (multiplicity 1)
7 In 0.500 0.500 0.000 (multiplicity 1)